(1)
# NdSmS2

NdSmS2 after structural relaxation (PBE, Alexandria via LeMat-Bulk).

Results
ΔE_f (raw) ... -2.005 eV/atom
Energy relative to the lowest polymorph listed for this composition ... 0.022 eV per atom
Symmetry ... P6_3/mmc
E ... -51.523 eV for the cell shown
Spin magnetization ... 0.0 μB/f.u.

abc: 3.9882 3.9882 13.5836
angles: 90.00 90.00 120.00
Last column: nearest neighbours and their distance in Å.
Positions (direct):
Nd (0.0000, 0.0000, 0.0000)  6 S 2.86
Nd (0.0000, 0.0000, 0.5000)  6 S 2.86
Sm (0.3333, 0.6667, 0.2500)  6 S 2.86
Sm (0.6667, 0.3333, 0.7500)  6 S 2.86
S (0.3333, 0.6667, 0.6253)  3 Sm 2.86, 3 Nd 2.86
S (0.3333, 0.6667, 0.8747)  3 Sm 2.86, 3 Nd 2.86
S (0.6667, 0.3333, 0.1253)  3 Sm 2.86, 3 Nd 2.86
S (0.6667, 0.3333, 0.3747)  3 Sm 2.86, 3 Nd 2.86



(2)
# MoIrN2

MoIrN2 after structural relaxation (PBE, Alexandria via LeMat-Bulk).

Results
ΔE_f (raw) ... 1.021 eV/atom
Energy relative to the lowest polymorph listed for this composition ... 0.932 eV per atom
Symmetry ... Fm-3m
E ... -32.259 eV for the cell shown
Spin magnetization ... 0.0 μB/f.u.

abc: 3.8609 3.8609 3.8609
angles: 60.00 60.00 60.00
Last column: nearest neighbours and their distance in Å.
Positions (direct):
Mo (0.0000, 0.0000, 0.0000)  8 N 2.36
Ir (0.5000, 0.5000, 0.5000)  8 N 2.36
N (0.2500, 0.2500, 0.2500)  4 Mo 2.36, 4 Ir 2.36
N (0.7500, 0.7500, 0.7500)  4 Mo 2.36, 4 Ir 2.36



(3)
# YCrTcNi2

YCrTcNi2 after structural relaxation (PBE, Alexandria via LeMat-Bulk).

Results
Formation enthalpy at 0 K ... 34.586 kcal/mol of atoms
Symmetry ... P4/mmm
E ... -30.517 eV for the cell shown
Spin magnetization ... 0.5 μB/f.u.

abc: 4.5064 4.5064 5.0187
angles: 90.00 90.00 90.00
Last column: nearest neighbours and their distance in Å.
Positions (direct):
Y (0.0000, 0.0000, 0.0000)  2 Tc 2.51
Cr (0.5000, 0.5000, 0.0000)  4 Y 3.19, 8 Ni 3.37
Tc (0.0000, 0.0000, 0.5000)  4 Ni 2.25, 2 Y 2.51
Ni (0.0000, 0.5000, 0.5000)  2 Tc 2.25
Ni (0.5000, 0.0000, 0.5000)  2 Tc 2.25



> Among the records above, which one has the highest spin magnetization?

YCrTcNi2



Copy entry 3 word for word.
# YCrTcNi2

YCrTcNi2 after structural relaxation (PBE, Alexandria via LeMat-Bulk).

Results
Formation enthalpy at 0 K ... 34.586 kcal/mol of atoms
Symmetry ... P4/mmm
E ... -30.517 eV for the cell shown
Spin magnetization ... 0.5 μB/f.u.

abc: 4.5064 4.5064 5.0187
angles: 90.00 90.00 90.00
Last column: nearest neighbours and their distance in Å.
Positions (direct):
Y (0.0000, 0.0000, 0.0000)  2 Tc 2.51
Cr (0.5000, 0.5000, 0.0000)  4 Y 3.19, 8 Ni 3.37
Tc (0.0000, 0.0000, 0.5000)  4 Ni 2.25, 2 Y 2.51
Ni (0.0000, 0.5000, 0.5000)  2 Tc 2.25
Ni (0.5000, 0.0000, 0.5000)  2 Tc 2.25